(P)
Material: Pm2NdHf
Method: DFT, PBE
State: optimized geometry

Unit cell a=4.9546 b=4.9546 c=4.9705 alpha=90.00 beta=90.00 gamma=90.00
Closest atoms and distances in Å follow each position.
Space group P4/mmm (No. 123)
Inequivalent atoms, fractional coordinates:
Pm 0.0000 0.5000 0.0000  4 Pm 3.50, 4 Hf 3.51, 4 Nd 3.51
Nd 0.0000 0.0000 0.5000  4 Hf 3.50, 8 Pm 3.51
Hf 0.5000 0.5000 0.5000  4 Nd 3.50, 8 Pm 3.51

Calculated values
theoretical density: 8.34 Mg/m³
size of the total moment: 0.00 μB per cell

=====

(Q)
Material: Pm2NdHf
Method: DFT, PBE
State: optimized geometry

Unit cell a=4.0546 b=4.0546 c=7.4979 alpha=90.00 beta=90.00 gamma=90.00
Closest atoms and distances in Å follow each position.
Space group P4/mmm (No. 123)
Inequivalent atoms, fractional coordinates:
Pm 0.0000 0.0000 0.2166  1 Pm 3.25, 4 Hf 3.29, 4 Nd 3.57
Nd 0.5000 0.5000 0.5000  8 Pm 3.57, 2 Hf 3.75
Hf 0.5000 0.5000 0.0000  8 Pm 3.29

Calculated values
theoretical density: 8.25 Mg/m³
size of the total moment: 0.00 μB per cell

=====

(R)
Material: Pm2NdHf
Method: DFT, PBE
State: optimized geometry

Unit cell a=3.3995 b=3.3995 c=36.9377 alpha=90.00 beta=90.00 gamma=120.00
Closest atoms and distances in Å follow each position.
Space group R-3m (No. 166, hexagonal axes)
Inequivalent atoms, fractional coordinates:
Pm 0.0000 0.0000 0.0842  1 Hf 3.11, 6 Pm 3.40
Nd 0.0000 0.0000 0.5000  6 Nd 3.40, 6 Pm 3.63
Hf 0.0000 0.0000 0.0000  2 Pm 3.11, 6 Hf 3.40

Calculated values
theoretical density: 8.26 Mg/m³
size of the total moment: 0.00 μB per cell

=====

What should be chosen as the most stable of them? Choose (P).

=====

(P)
Material: Pr2NdHf
Method: DFT, PBE
State: optimized geometry

Unit cell a=4.0864 b=4.0864 c=7.5712 alpha=90.00 beta=90.00 gamma=90.00
Closest atoms and distances in Å follow each position.
Space group P4/mmm (No. 123)
Inequivalent atoms, fractional coordinates:
Pr 0.0000 0.0000 0.2177  1 Pr 3.30, 4 Hf 3.33, 4 Nd 3.59
Nd 0.5000 0.5000 0.5000  8 Pr 3.59, 2 Hf 3.79
Hf 0.5000 0.5000 0.0000  8 Pr 3.33

Calculated values
theoretical density: 7.94 Mg/m³
size of the total moment: 0.00 μB per cell

=====

(Q)
Material: Pr2NdHf
Method: DFT, PBE
State: optimized geometry

Unit cell a=3.4171 b=3.4171 c=37.4442 alpha=90.00 beta=90.00 gamma=120.00
Closest atoms and distances in Å follow each position.
Space group R-3m (No. 166, hexagonal axes)
Inequivalent atoms, fractional coordinates:
Pr 0.0000 0.0000 0.0833  1 Hf 3.12, 6 Pr 3.42
Nd 0.0000 0.0000 0.5000  6 Nd 3.42, 6 Pr 3.69
Hf 0.0000 0.0000 0.0000  2 Pr 3.12, 6 Hf 3.42

Calculated values
theoretical density: 7.95 Mg/m³
size of the total moment: 0.00 μB per cell

=====

What should be chosen as the most stable of them? Choose (P).

=====

(P)
Material: NdPuHf
Method: DFT, PBE
State: optimized geometry

Unit cell a=3.3287 b=3.3287 c=14.6989 alpha=90.00 beta=90.00 gamma=90.00
Closest atoms and distances in Å follow each position.
Space group I4mm (No. 107)
Inequivalent atoms, fractional coordinates:
Nd 0.0000 0.0000 0.0000  4 Nd 3.33, 4 Hf 3.43, 4 Pu 3.58
Pu 0.0000 0.0000 0.3168  4 Hf 3.19, 4 Pu 3.33, 4 Nd 3.58
Hf 0.0000 0.0000 0.6700  4 Pu 3.19, 4 Hf 3.33, 4 Nd 3.43

Calculated values
theoretical density: 11.56 Mg/m³
size of the total moment: 11.06 μB per cell

=====

(Q)
Material: NdPuHf
Method: DFT, PBE
State: optimized geometry

Unit cell a=3.2865 b=3.2865 c=30.5972 alpha=90.00 beta=90.00 gamma=90.00
Closest atoms and distances in Å follow each position.
Space group I4/mmm (No. 139)
Inequivalent atoms, fractional coordinates:
Nd 0.0000 0.0000 0.0573  5 Nd 3.29-3.51, 4 Pu 3.48
Pu 0.0000 0.0000 0.3579  4 Hf 3.24, 4 Pu 3.29, 4 Nd 3.48
Hf 0.0000 0.0000 0.2158  8 Hf 3.13-3.29, 4 Pu 3.24

Calculated values
theoretical density: 11.39 Mg/m³
size of the total moment: 22.65 μB per cell

=====

What should be chosen as the most stable of them? Choose (P).

=====

(P)
Material: NdHfS2
Method: DFT, PBE
State: optimized geometry

Unit cell a=3.8370 b=3.8370 c=18.9878 alpha=90.00 beta=90.00 gamma=120.00
Closest atoms and distances in Å follow each position.
Space group R-3m (No. 166, hexagonal axes)
Inequivalent atoms, fractional coordinates:
Nd 0.0000 0.0000 0.0000  6 S 2.85
Hf 0.0000 0.0000 0.5000  6 S 2.61
S 0.0000 0.0000 0.2392  3 Hf 2.61, 3 Nd 2.85

Calculated values
theoretical density: 7.96 Mg/m³
size of the total moment: 0.00 μB per cell

=====

(Q)
Material: NdHfS2
Method: DFT, PBE
State: optimized geometry

Unit cell a=3.7585 b=3.7585 c=20.0778 alpha=90.00 beta=90.00 gamma=120.00
Closest atoms and distances in Å follow each position.
Space group R3m (No. 160, hexagonal axes)
Inequivalent atoms, fractional coordinates:
Nd 0.0000 0.0000 0.0000  6 S 2.81-2.95
Hf 0.0000 0.0000 0.8243  6 S 2.57-2.66
S 0.0000 0.0000 0.2339  3 Hf 2.66, 3 Nd 2.95
S 0.0000 0.0000 0.4225  3 Hf 2.57, 3 Nd 2.81

Calculated values
theoretical density: 7.85 Mg/m³
size of the total moment: 0.00 μB per cell

=====

What should be chosen as the most stable of them? Choose (P).